# U5B24Mo10

A PBEsol-optimized structure of U5B24Mo10 (SCAN, Alexandria via LeMat-Bulk).

Lattice parameters (Å, degrees): 3.076 17.787 14.519 90.00 90.00 90.00
Fractional positions:
U 0.250 0.005 0.176
U 0.250 0.136 0.527
U 0.250 0.364 0.527
U 0.250 0.495 0.176
U 0.250 0.750 0.976
U 0.750 0.250 0.024
U 0.750 0.505 0.824
U 0.750 0.636 0.473
U 0.750 0.864 0.473
U 0.750 0.995 0.824
B 0.250 0.073 0.704
B 0.250 0.118 0.814
B 0.250 0.125 0.338
B 0.250 0.156 0.113
B 0.250 0.250 0.170
B 0.250 0.250 0.643
B 0.250 0.344 0.113
B 0.250 0.375 0.338
B 0.250 0.382 0.814
B 0.250 0.427 0.704
B 0.250 0.514 0.472
B 0.250 0.520 0.978
B 0.250 0.557 0.358
B 0.250 0.605 0.912
B 0.250 0.651 0.133
B 0.250 0.663 0.612
B 0.250 0.750 0.417
B 0.250 0.750 0.539
B 0.250 0.837 0.612
B 0.250 0.849 0.133
B 0.250 0.895 0.912
B 0.250 0.943 0.358
B 0.250 0.980 0.978
B 0.250 0.986 0.472
B 0.750 0.014 0.528
B 0.750 0.020 0.022
B 0.750 0.057 0.642
B 0.750 0.105 0.088
B 0.750 0.151 0.867
B 0.750 0.163 0.388
B 0.750 0.250 0.461
B 0.750 0.250 0.583
B 0.750 0.337 0.388
B 0.750 0.349 0.867
B 0.750 0.395 0.088
B 0.750 0.443 0.642
B 0.750 0.480 0.022
B 0.750 0.486 0.528
B 0.750 0.573 0.296
B 0.750 0.618 0.186
B 0.750 0.625 0.662
B 0.750 0.656 0.887
B 0.750 0.750 0.357
B 0.750 0.750 0.830
B 0.750 0.844 0.887
B 0.750 0.875 0.662
B 0.750 0.882 0.186
B 0.750 0.927 0.296
Mo 0.250 0.106 0.969
Mo 0.250 0.250 0.347
Mo 0.250 0.250 0.847
Mo 0.250 0.394 0.969
Mo 0.250 0.537 0.628
Mo 0.250 0.662 0.773
Mo 0.250 0.670 0.289
Mo 0.250 0.830 0.289
Mo 0.250 0.838 0.773
Mo 0.250 0.963 0.628
Mo 0.750 0.037 0.372
Mo 0.750 0.162 0.227
Mo 0.750 0.170 0.711
Mo 0.750 0.330 0.711
Mo 0.750 0.338 0.227
Mo 0.750 0.463 0.372
Mo 0.750 0.606 0.031
Mo 0.750 0.750 0.153
Mo 0.750 0.750 0.653
Mo 0.750 0.894 0.031

Output
Its total energy is -27.295 eV per atom.

# VB2Mo2

A PBEsol-optimized structure of VB2Mo2 (SCAN, Alexandria via LeMat-Bulk).

Lattice parameters (Å, degrees): 5.848 5.848 3.103 90.00 90.00 90.00
Fractional positions:
V 0.000 0.000 0.000
V 0.500 0.500 0.000
B 0.114 0.386 0.000
B 0.386 0.886 0.000
B 0.614 0.114 0.000
B 0.886 0.614 0.000
Mo 0.178 0.678 0.500
Mo 0.322 0.178 0.500
Mo 0.678 0.822 0.500
Mo 0.822 0.322 0.500

Output
Its total energy is -21.012 eV per atom.

# B2Mo2W

A PBEsol-optimized structure of B2Mo2W (SCAN, Alexandria via LeMat-Bulk).

Lattice parameters (Å, degrees): 5.994 5.994 3.137 90.00 90.00 90.00
Fractional positions:
B 0.115 0.385 0.000
B 0.385 0.885 0.000
B 0.615 0.115 0.000
B 0.885 0.615 0.000
Mo 0.172 0.672 0.500
Mo 0.328 0.172 0.500
Mo 0.672 0.828 0.500
Mo 0.828 0.328 0.500
W 0.000 0.000 0.000
W 0.500 0.500 0.000

Output
Its total energy is -31.188 eV per atom.

# BMoW

A PBEsol-optimized structure of BMoW (SCAN, Alexandria via LeMat-Bulk).

Lattice parameters (Å, degrees): 5.525 4.586 4.552 74.41 53.07 52.52
Fractional positions:
B 0.250 0.250 0.250
B 0.750 0.750 0.750
Mo 0.171 0.829 0.171
Mo 0.829 0.171 0.829
W 0.331 0.331 0.669
W 0.669 0.669 0.331

Output
Its total energy is -37.605 eV per atom.

# B2MoW

A PBEsol-optimized structure of B2MoW (SCAN, Alexandria via LeMat-Bulk).

Lattice parameters (Å, degrees): 3.913 3.913 3.913 60.00 60.00 60.00
Fractional positions:
B 0.250 0.250 0.250
B 0.750 0.750 0.750
Mo 0.000 0.000 0.000
W 0.500 0.500 0.500

Output
Its total energy is -29.467 eV per atom.

# YB7Mo3

A PBEsol-optimized structure of YB7Mo3 (SCAN, Alexandria via LeMat-Bulk).

Lattice parameters (Å, degrees): 10.976 3.086 12.744 90.00 90.00 90.00
Fractional positions:
Y 0.052 0.250 0.192
Y 0.448 0.750 0.692
Y 0.552 0.250 0.308
Y 0.948 0.750 0.808
B 0.011 0.750 0.363
B 0.037 0.750 0.018
B 0.068 0.750 0.616
B 0.167 0.750 0.333
B 0.187 0.750 0.067
B 0.230 0.750 0.582
B 0.249 0.750 0.827
B 0.251 0.250 0.327
B 0.270 0.250 0.082
B 0.313 0.250 0.567
B 0.333 0.250 0.833
B 0.432 0.250 0.116
B 0.463 0.250 0.518
B 0.489 0.250 0.863
B 0.511 0.750 0.137
B 0.537 0.750 0.482
B 0.568 0.750 0.884
B 0.667 0.750 0.167
B 0.687 0.750 0.433
B 0.730 0.750 0.918
B 0.749 0.750 0.673
B 0.751 0.250 0.173
B 0.770 0.250 0.418
B 0.813 0.250 0.933
B 0.833 0.250 0.667
B 0.932 0.250 0.384
B 0.963 0.250 0.982
B 0.989 0.250 0.637
Mo 0.118 0.250 0.473
Mo 0.160 0.250 0.936
Mo 0.184 0.250 0.702
Mo 0.316 0.750 0.202
Mo 0.340 0.750 0.436
Mo 0.382 0.750 0.973
Mo 0.618 0.250 0.027
Mo 0.660 0.250 0.564
Mo 0.684 0.250 0.798
Mo 0.816 0.750 0.298
Mo 0.840 0.750 0.064
Mo 0.882 0.750 0.527

Output
Its total energy is -17.345 eV per atom.